The following is a PBE+U calculation of a geometry-optimized NaWN2F structure, from the Alexandria database.

The energy comes out at -6.028 eV/atom. For the magnetization, the calculation gives 0.00 Bohr magnetons per cell. For the density of states at the Fermi level, the calculation gives 1.0 states/eV/f.u.

Cell lengths 3.9680, 3.9680, 4.1831 Å; angles 90.00, 90.00, 90.00 degrees
Atoms (fractional coordinates):
Na: 0.5000 0.5000 0.5000
N: 0.0000 0.5000 0.0000
N: 0.5000 0.0000 0.0000
W: 0.0000 0.0000 0.0000
F: 0.0000 0.0000 0.5000